Material: InGa2Pd2
Method: DFT, GGA-PBE
State: optimized geometry

Cell and atoms, written as CIF:
```
data_InGa2Pd2
_chemical_formula_sum 'In2 Ga4 Pd4'
_cell_length_a 3.6894
_cell_length_b 3.6894
_cell_length_c 13.0176
_cell_angle_alpha 90.00
_cell_angle_beta 90.00
_cell_angle_gamma 90.00
_space_group_name_H-M_alt 'I 4/m m m'
_space_group_IT_number 139
_space_group_name_Hall '-I 4 2'
loop_
_atom_site_label
_atom_site_type_symbol
_atom_site_fract_x
_atom_site_fract_y
_atom_site_fract_z
_atom_site_occupancy
In1 In 0.0000 0.0000 0.0000 1
Ga1 Ga 0.0000 0.5000 0.2500 1
Pd1 Pd 0.0000 0.0000 0.3912 1
```

Calculated values
Fermi-level density of states, states/eV/cell: 3.40
Relative energy among the computed polymorphs, eV per atom: 0.0611
E, eV/atom: -4.253